First-principles (PBE) data for an optimized crystal structure of Ca3Tl4Sn, as listed in the Alexandria database.

Cell and atoms, written as POSCAR:
```
Ca3Tl4Sn
1.0
4.6911 0.0000 0.0000
0.0000 9.7416 0.0000
0.0000 0.0000 10.3213
Ca Tl Sn
6 8 2
Cartesian
1.1728 0.0477 1.3793
1.1728 4.8231 1.3793
1.1728 7.3062 4.0514
3.5183 2.4354 6.2698
3.5183 4.9185 8.9419
3.5183 9.6939 8.9419
1.1728 0.0241 6.4238
1.1728 2.4354 3.7451
1.1728 4.8467 6.4238
1.1728 7.3062 9.3344
3.5183 2.4354 0.9869
3.5183 4.8948 3.8974
3.5183 7.3062 6.5761
3.5183 9.7175 3.8974
1.1728 2.4354 8.9256
3.5183 7.3062 1.3956
```

Energy relative to the lowest polymorph listed for this composition = 0.0 meV/atom


First-principles (PBE) data for an optimized crystal structure of CeHgIr, as listed in the Alexandria database.

Cell and atoms, written as POSCAR:
```
CeHgIr
1.0
0.0000 3.3480 3.3480
3.3480 0.0000 3.3480
3.3480 3.3480 0.0000
Ce Hg Ir
1 1 1
Cartesian
0.0000 0.0000 0.0000
3.3480 3.3480 3.3480
5.0220 5.0220 5.0220
```

Energy relative to the lowest polymorph listed for this composition = 243.4 meV/atom


For the records above, the corresponding raw total energy values read -2.751 -5.396 eV per atom.
For the records above, the corresponding ΔH_f (0 K) values read -317 -364 meV/atom.